<one>
The following is a DFT calculation (PBEsol) of Ta2CoAg after structural relaxation.

Its calculated volume is 15.67 A^3/atom. The total magnetization is 1.8 μB per formula unit. Its density of states at the Fermi level is 0.74 states/eV/atom.

CIF file:
```
data_Ta2CoAg
_chemical_formula_sum 'Ta8 Co4 Ag4'
_space_group_name_H-M_alt 'F m -3 m'
_space_group_IT_number 225
_space_group_name_Hall '-F 4 2 3'
_cell_length_a 6.305
_cell_length_b 6.305
_cell_length_c 6.305
_cell_angle_alpha 90.00
_cell_angle_beta 90.00
_cell_angle_gamma 90.00
loop_
_atom_site_label
_atom_site_type_symbol
_atom_site_fract_x
_atom_site_fract_y
_atom_site_fract_z
Ta1 Ta 0.250 0.250 0.250
Co1 Co 0.000 0.000 0.000
Ag1 Ag 0.000 0.000 0.500
```

***

<two>
The following is a DFT calculation (PBEsol) of Ta2CoAg after structural relaxation.

Its calculated volume is 15.24 A^3/atom. The total magnetization is 0.0 μB per formula unit. Its density of states at the Fermi level is 1.07 states/eV/atom.

CIF file:
```
data_Ta2CoAg
_chemical_formula_sum 'Ta2 Co1 Ag1'
_space_group_name_H-M_alt 'P 4/m m m'
_space_group_IT_number 123
_space_group_name_Hall '-P 4 2'
_cell_length_a 2.754
_cell_length_b 2.754
_cell_length_c 8.037
_cell_angle_alpha 90.00
_cell_angle_beta 90.00
_cell_angle_gamma 90.00
loop_
_atom_site_label
_atom_site_type_symbol
_atom_site_fract_x
_atom_site_fract_y
_atom_site_fract_z
Ta1 Ta 0.000 0.000 0.218
Co1 Co 0.500 0.500 0.000
Ag1 Ag 0.500 0.500 0.500
```

***

Which of them is least stable? Easy: <one>.

***

<one>
The following is a DFT calculation (PBEsol) of CoTc2Ag after structural relaxation.

Its calculated volume is 13.50 A^3/atom. The total magnetization is 1.4 μB per formula unit. Its density of states at the Fermi level is 0.89 states/eV/atom.

CIF file:
```
data_CoTc2Ag
_chemical_formula_sum 'Co1 Tc2 Ag1'
_space_group_name_H-M_alt 'P 4/m m m'
_space_group_IT_number 123
_space_group_name_Hall '-P 4 2'
_cell_length_a 3.663
_cell_length_b 3.663
_cell_length_c 4.025
_cell_angle_alpha 90.00
_cell_angle_beta 90.00
_cell_angle_gamma 90.00
loop_
_atom_site_label
_atom_site_type_symbol
_atom_site_fract_x
_atom_site_fract_y
_atom_site_fract_z
Co1 Co 0.000 0.000 0.000
Tc1 Tc 0.000 0.500 0.500
Ag1 Ag 0.500 0.500 0.000
```

***

<two>
The following is a DFT calculation (PBEsol) of CoTc2Ag after structural relaxation.

Its calculated volume is 13.66 A^3/atom. The total magnetization is 1.0 μB per formula unit. Its density of states at the Fermi level is 0.87 states/eV/atom.

CIF file:
```
data_CoTc2Ag
_chemical_formula_sum 'Co1 Tc2 Ag1'
_space_group_name_H-M_alt 'P m m m'
_space_group_IT_number 47
_cell_length_a 2.650
_cell_length_b 3.857
_cell_length_c 5.346
_cell_angle_alpha 90.00
_cell_angle_beta 90.00
_cell_angle_gamma 90.00
loop_
_space_group_symop_operation_xyz
'x,y,z'
'-x,-y,-z'
'-x,-y,z'
'x,y,-z'
'x,-y,-z'
'-x,y,z'
'-x,y,-z'
'x,-y,z'
loop_
_atom_site_label
_atom_site_type_symbol
_atom_site_fract_x
_atom_site_fract_y
_atom_site_fract_z
Co1 Co 0.000 0.000 0.000
Tc1 Tc 0.500 0.500 0.216
Ag1 Ag 0.000 0.000 0.500
```

***

Which of them is least stable? Easy: <one>.